(1)
A plane-wave DFT calculation with PBE was carried out for crystalline Ni2AgC2 at its relaxed geometry.

Structure (POSCAR):
```
Ni2AgC2
1.0
-1.794 1.794 3.824
1.794 -1.794 3.824
1.794 1.794 -3.824
Ni Ag C
2 1 2
direct
0.250 0.750 0.500
0.750 0.250 0.500
0.000 0.000 0.000
0.406 0.406 0.000
0.594 0.594 0.000
```

Properties
total magnetic moment	0.002	μB/cell
density of states at the Fermi level	0.9539	states/eV per atom
calculated volume	49.2	Å³/f.u.
DFT formation energy	677	meV per atom
uncorrected energy	-5.8954	eV/atom
E above lowest polymorph	0	meV per atom


(2)
A plane-wave DFT calculation with PBE was carried out for crystalline K2NbSbIr at its relaxed geometry.

Structure (POSCAR):
```
K2NbSbIr
1.0
6.598 0.000 0.000
0.000 6.598 0.000
0.000 0.000 4.621
K Nb Sb Ir
2 1 1 1
direct
0.000 0.500 0.000
0.500 0.000 0.000
0.000 0.000 0.000
0.500 0.500 0.500
0.000 0.000 0.500
```

Properties
total magnetic moment	1.392	μB/cell
density of states at the Fermi level	0.8912	states/eV per atom
formation energy without anion corrections	113.08	kJ/mol of atoms
calculated volume	201.1	Å³/f.u.
uncorrected energy	-3.8776	eV/atom


(3)
A plane-wave DFT calculation with PBE was carried out for crystalline Li2Ac2Au3 at its relaxed geometry.

Structure (POSCAR):
```
Li2Ac2Au3
1.0
2.151 -10.060 0.000
2.151 10.060 0.000
0.000 0.000 8.061
Li Ac Au
4 4 6
direct
0.192 0.808 0.562
0.192 0.808 0.938
0.808 0.192 0.062
0.808 0.192 0.438
0.343 0.657 0.750
0.445 0.555 0.250
0.555 0.445 0.750
0.657 0.343 0.250
0.066 0.934 0.063
0.066 0.934 0.437
0.279 0.721 0.250
0.721 0.279 0.750
0.934 0.066 0.563
0.934 0.066 0.937
```

Properties
total magnetic moment	0.000	μB/cell
density of states at the Fermi level	0.6158	states/eV per atom
calculated volume	174.4	Å³/f.u.
DFT formation energy	-665	meV per atom
uncorrected energy	-3.7899	eV/atom
E above lowest polymorph	0	meV per atom


(4)
A plane-wave DFT calculation with PBE was carried out for crystalline ZrCd2Tc at its relaxed geometry.

Structure (POSCAR):
```
ZrCd2Tc
1.0
2.902 0.000 0.000
0.000 2.902 0.000
0.000 0.000 9.124
Zr Cd Tc
1 2 1
direct
0.000 0.000 0.000
0.500 0.500 0.268
0.500 0.500 0.732
0.000 0.000 0.500
```

Properties
total magnetic moment	0.621	μB/cell
density of states at the Fermi level	0.8500	states/eV per atom
calculated volume	76.9	Å³/f.u.
DFT formation energy	262	meV per atom
uncorrected energy	-4.9243	eV/atom
E above lowest polymorph	263	meV per atom


(5)
A plane-wave DFT calculation with PBE was carried out for crystalline CsSbAs2Pt4 at its relaxed geometry.

Structure (POSCAR):
```
CsSbAs2Pt4
1.0
4.197 0.000 0.000
0.000 4.197 0.000
0.000 0.000 10.827
Cs Sb As Pt
1 1 2 4
direct
0.000 0.000 0.000
0.000 0.000 0.500
0.500 0.500 0.210
0.500 0.500 0.790
0.000 0.500 0.334
0.000 0.500 0.666
0.500 0.000 0.334
0.500 0.000 0.666
```

Properties
total magnetic moment	0.000	μB/cell
density of states at the Fermi level	0.8111	states/eV per atom
formation energy without anion corrections	-38.21	kJ/mol of atoms
calculated volume	190.7	Å³/f.u.
uncorrected energy	-5.2008	eV/atom


(6)
A plane-wave DFT calculation with PBE was carried out for crystalline Y2Fe2Tc at its relaxed geometry.

Structure (POSCAR):
```
Y2Fe2Tc
1.0
6.361 0.000 0.000
0.000 6.361 0.000
0.000 0.000 4.548
Y Fe Tc
4 4 2
direct
0.182 0.318 0.000
0.318 0.818 0.000
0.682 0.182 0.000
0.818 0.682 0.000
0.126 0.626 0.500
0.374 0.126 0.500
0.626 0.874 0.500
0.874 0.374 0.500
0.000 0.000 0.500
0.500 0.500 0.500
```

Properties
total magnetic moment	3.030	μB/cell
density of states at the Fermi level	0.9202	states/eV per atom
calculated volume	92.0	Å³/f.u.
DFT formation energy	94	meV per atom
uncorrected energy	-7.9498	eV/atom


(7)
A plane-wave DFT calculation with PBE was carried out for crystalline KTa2Sb at its relaxed geometry.

Structure (POSCAR):
```
KTa2Sb
1.0
3.023 -5.191 0.000
3.023 5.191 0.000
0.000 0.000 2.908
K Ta Sb
1 2 1
direct
0.000 0.000 0.000
0.000 0.500 0.500
0.500 0.000 0.500
0.500 0.500 0.000
```

Properties
total magnetic moment	0.001	μB/cell
density of states at the Fermi level	1.2865	states/eV per atom
formation energy without anion corrections	114.96	kJ/mol of atoms
calculated volume	91.3	Å³/f.u.
uncorrected energy	-6.0399	eV/atom


(8)
A plane-wave DFT calculation with PBE was carried out for crystalline Sm3Ag2Rh2 at its relaxed geometry.

Structure (POSCAR):
```
Sm3Ag2Rh2
1.0
2.015 -10.528 0.000
2.015 10.528 0.000
0.000 0.000 3.825
Sm Ag Rh
3 2 2
direct
0.000 0.000 0.000
0.173 0.827 0.000
0.827 0.173 0.000
0.426 0.574 0.500
0.574 0.426 0.500
0.293 0.707 0.500
0.707 0.293 0.500
```

Properties
total magnetic moment	0.000	μB/cell
density of states at the Fermi level	0.7351	states/eV per atom
calculated volume	162.3	Å³/f.u.
DFT formation energy	-455	meV per atom
uncorrected energy	-5.3930	eV/atom


- Among the records above, which one has the highest total magnetic moment?
  Y2Fe2Tc